# 1
The following is a GGA-PBE calculation of crystalline NpSi4IrRh2 at its relaxed geometry, from the Alexandria database.

POSCAR file:
```
NpSi4IrRh2
1.0
2.0610 1.1899 8.3997
-2.0610 1.1899 8.3997
0.0000 -2.3799 8.3997
Np Si Ir Rh
1 4 1 2
Cartesian
0.0000 0.0000 0.0000 Np
0.0000 0.0000 3.1309 Si
0.0000 0.0000 10.0034 Si
0.0000 0.0000 15.1958 Si
0.0000 0.0000 22.0683 Si
0.0000 0.0000 12.5996 Ir
0.0000 0.0000 5.8003 Rh
0.0000 0.0000 19.3990 Rh
```

Computed properties:
Its volume is 15.45 Å³/atom. As for the formation energy from raw total energies: -0.52 eV per atom.

---

# 2
The following is a GGA-PBE calculation of crystalline TaNbCr4 at its relaxed geometry, from the Alexandria database.

POSCAR file:
```
TaNbCr4
1.0
0.0000 3.4716 3.4716
3.4716 0.0000 3.4716
3.4716 3.4716 0.0000
Ta Nb Cr
1 1 4
Cartesian
0.0000 0.0000 0.0000 Ta
1.7358 1.7358 1.7358 Nb
4.3396 2.6036 2.6036 Cr
2.6036 4.3396 2.6036 Cr
2.6036 2.6036 4.3396 Cr
4.3396 4.3396 4.3396 Cr
```

Computed properties:
Its volume is 13.95 Å³/atom. As for the final energy: -61.002 eV/f.u.

---

# 3
The following is a GGA-PBE calculation of crystalline Ta2Zn3O8 at its relaxed geometry, from the Alexandria database.

POSCAR file:
```
Ta2Zn3O8
1.0
4.4835 -4.2596 0.0000
4.4835 4.2596 0.0000
-4.1864 0.0000 8.6941
Ta Zn O
4 6 16
Cartesian
0.1111 3.0546 7.5940 Ta
2.5762 3.0546 5.4472 Ta
2.2043 -3.0546 3.2469 Ta
4.6694 -3.0546 1.1001 Ta
3.4369 2.2276 2.1735 Zn
0.9520 0.1759 4.3692 Zn
3.0452 -0.1759 0.0222 Zn
1.7353 0.1759 8.6720 Zn
3.8285 -0.1759 4.3249 Zn
1.3437 -2.2276 6.5206 Zn
-0.1406 1.1331 3.0703 O
2.4831 3.4026 3.4504 O
4.3907 3.4026 0.8967 O
2.0981 1.0541 1.2595 O
-2.2338 -1.1331 7.4174 O
0.2060 1.1747 7.9209 O
2.4814 1.1747 5.1203 O
0.0049 -1.0541 5.6065 O
4.7757 1.0541 3.0876 O
2.2992 -1.1747 3.5739 O
4.5746 -1.1747 0.7732 O
7.0144 1.1331 1.2768 O
2.6825 -1.0541 7.4347 O
0.3899 -3.4026 7.7974 O
2.2975 -3.4026 5.2438 O
4.9211 -1.1331 5.6238 O
```

Computed properties:
Its volume is 12.77 Å³/atom. As for the formation energy from raw total energies: -2.20 eV per atom.

---

# 4
The following is a GGA-PBE calculation of crystalline Li3GeH at its relaxed geometry, from the Alexandria database.

POSCAR file:
```
Li3GeH
1.0
4.9948 0.0000 0.0000
0.0000 4.9948 0.0000
0.0000 0.0000 4.9948
Li Ge H
3 1 1
Cartesian
0.0000 0.0000 2.4974 Li
0.0000 2.4974 0.0000 Li
2.4974 0.0000 0.0000 Li
0.0000 0.0000 0.0000 Ge
2.4974 2.4974 2.4974 H
```

Computed properties:
Its volume is 24.92 Å³/atom. The energy above the most stable polymorph in this dataset is 732 meV/atom.

---

# 5
The following is a GGA-PBE calculation of crystalline USiTc2 at its relaxed geometry, from the Alexandria database.

POSCAR file:
```
USiTc2
1.0
3.0094 0.0000 0.0000
-1.5047 2.6062 0.0000
0.0000 0.0000 25.3755
U Si Tc
3 3 6
Cartesian
0.0000 0.0000 0.0000 U
0.0000 1.7375 16.9170 U
1.5047 0.8687 8.4585 U
0.0000 0.0000 12.6878 Si
0.0000 1.7375 4.2293 Si
1.5047 0.8687 21.1463 Si
0.0000 0.0000 2.4223 Tc
0.0000 0.0000 22.9532 Tc
0.0000 1.7375 14.4947 Tc
0.0000 1.7375 19.3393 Tc
1.5047 0.8687 6.0362 Tc
1.5047 0.8687 10.8808 Tc
```

Computed properties:
Its volume is 16.59 Å³/atom. The energy above the most stable polymorph in this dataset is 428 meV/atom. As for the formation energy from raw total energies: 0.06 eV per atom.

---

# 6
The following is a GGA-PBE calculation of crystalline BaGaCu2F8 at its relaxed geometry, from the Alexandria database.

POSCAR file:
```
BaGaCu2F8
1.0
2.5589 1.4774 7.2356
-2.5589 1.4774 7.2356
0.0000 -2.9547 7.2356
Ba Ga Cu F
1 1 2 8
Cartesian
0.0000 0.0000 0.0000 Ba
0.0000 0.0000 10.8534 Ga
0.0000 0.0000 4.9241 Cu
0.0000 0.0000 16.7826 Cu
-0.4601 -1.4502 9.6619 F
-1.0258 -1.1236 12.0448 F
0.0000 0.0000 6.8415 F
-1.0258 1.1236 9.6619 F
-0.4601 1.4502 12.0448 F
0.0000 0.0000 14.8652 F
1.4860 0.3266 9.6620 F
1.4860 -0.3266 12.0448 F
```

Computed properties:
Its volume is 13.68 Å³/atom. As for the formation energy from raw total energies: -2.28 eV per atom.